Entry from the Alexandria database: CdPPd2 after structural relaxation (PBE-GGA).

a = 7.5739 Å, b = 6.1554 Å, c = 5.8649 Å
α = 90.00°, β = 90.73°, γ = 90.00°
Last column: nearest neighbours and their distance in Å.
Space group P2_1/c (No. 14)
Symmetry-distinct sites (fractional):
Cd  0.1058  0.1277  0.2959 x4  6 Pd 2.79-2.97
P  0.3712  0.5538  0.1978 x4  6 Pd 2.36-2.51
Pd  0.1934  0.6996  0.4873 x4  2 P 2.36-2.37
Pd  0.4194  0.2074  0.0101 x4  4 P 2.43-2.51

Computed properties:
**Polymorph energy (0 for the lowest one)**: 0 meV/atom
**Energy of formation**: -0.40 eV per atom

***

Entry from the Alexandria database: AcCe2Th after structural relaxation (PBE-GGA).

a = 5.0595 Å, b = 5.0595 Å, c = 4.9792 Å
α = 90.00°, β = 90.00°, γ = 90.00°
Last column: nearest neighbours and their distance in Å.
Space group P4/mmm (No. 123)
Symmetry-distinct sites (fractional):
Ac  0.0000  0.0000  0.0000 x1  8 Ce 3.55, 4 Th 3.58
Ce  0.0000  0.5000  0.5000 x2  4 Ac 3.55, 4 Th 3.55, 4 Ce 3.58
Th  0.5000  0.5000  0.0000 x1  8 Ce 3.55, 4 Ac 3.58

Computed properties:
**Polymorph energy (0 for the lowest one)**: 37 meV/atom
**Energy of formation**: 0.14 eV per atom

***

Entry from the Alexandria database: BaCaAg3 after structural relaxation (PBE-GGA).

a = 4.2846 Å, b = 28.8334 Å, c = 4.7426 Å
α = 90.00°, β = 90.00°, γ = 90.00°
Last column: nearest neighbours and their distance in Å.
Space group Cmcm (No. 63)
Symmetry-distinct sites (fractional):
Ba  0.0000  0.0758  0.2500 x4  12 Ag 3.50-3.75
Ca  0.0000  0.2075  0.7500 x4  7 Ag 3.17-3.28
Ag  0.0000  0.3176  0.7500 x4  2 Ag 2.87, 1 Ca 3.18
Ag  0.0000  0.3735  0.2500 x4  3 Ag 2.87-2.88, 2 Ca 3.17
Ag  0.0000  0.4733  0.2500 x4  3 Ag 2.83-2.88

Computed properties:
**Polymorph energy (0 for the lowest one)**: 0 meV/atom
**Energy of formation**: -0.28 eV per atom

***

Entry from the Alexandria database: LiDy4Ga3 after structural relaxation (PBE-GGA).

a = 5.0659 Å, b = 5.0659 Å, c = 24.9748 Å
α = 90.00°, β = 90.00°, γ = 120.00°
Last column: nearest neighbours and their distance in Å.
Space group R-3m (No. 166, hexagonal axes)
Symmetry-distinct sites (fractional):
Li  0.0000  0.0000  0.0000 x3  8 Dy 3.14-3.17, 6 Ga 3.48
Dy  0.0000  0.0000  0.1271 x6  7 Ga 3.09-3.27, 1 Li 3.17
Dy  0.0000  0.0000  0.3786 x6  5 Ga 3.02-3.03, 3 Li 3.14
Ga  0.0000  0.0000  0.2579 x6  8 Dy 3.02-3.27
Ga  0.0000  0.0000  0.5000 x3  8 Dy 3.03-3.09

Computed properties:
**Energy of formation**: -0.47 eV per atom

***

Entry from the Alexandria database: Pa2SbO after structural relaxation (PBE-GGA).

a = 3.7854 Å, b = 3.7854 Å, c = 20.7191 Å
α = 90.00°, β = 90.00°, γ = 120.00°
Last column: nearest neighbours and their distance in Å.
Space group R-3m (No. 166, hexagonal axes)
Symmetry-distinct sites (fractional):
Pa  0.0000  0.0000  0.2274 x6  3 O 2.52
Sb  0.0000  0.0000  0.0000 x3  6 Pa 3.10
O  0.0000  0.0000  0.5000 x3  6 Pa 2.52

Computed properties:
**Polymorph energy (0 for the lowest one)**: 0 meV/atom
**Energy relative to the elements, uncorrected**: -1.34 eV/atom

***

Entry from the Alexandria database: Pa2Tc4Sn3 after structural relaxation (PBE-GGA).

a = 8.3698 Å, b = 4.6121 Å, c = 9.2044 Å
α = 90.00°, β = 91.32°, γ = 90.00°
Last column: nearest neighbours and their distance in Å.
Space group C2/m (No. 12)
Symmetry-distinct sites (fractional):
Pa  0.1759  0.0000  0.2159 x4  7 Tc 2.79-3.05
Tc  0.0266  0.5000  0.3151 x4  3 Pa 2.79-3.05, 4 Sn 2.83-2.90
Tc  0.1652  0.0000  0.9009 x4  4 Sn 2.85-2.93, 4 Pa 2.88-3.03
Sn  0.0000  0.5000  0.0000 x2  8 Tc 2.85-2.93
Sn  0.1498  0.0000  0.5886 x4  4 Tc 2.83-2.89, 1 Sn 2.96

Computed properties:
**Energy of formation**: -0.09 eV per atom

***

Entry from the Alexandria database: K2RbPdI after structural relaxation (PBE-GGA).

a = 6.5134 Å, b = 6.5134 Å, c = 5.5477 Å
α = 90.00°, β = 90.00°, γ = 90.00°
Last column: nearest neighbours and their distance in Å.
Space group P4/mmm (No. 123)
Symmetry-distinct sites (fractional):
K  0.0000  0.5000  0.0000 x2  2 Pd 3.26
Rb  0.0000  0.0000  0.5000 x1  8 K 4.28, 4 I 4.61
Pd  0.5000  0.5000  0.0000 x1  2 I 2.77
I  0.5000  0.5000  0.5000 x1  2 Pd 2.77

Computed properties:
**Polymorph energy (0 for the lowest one)**: 209 meV/atom
**Energy relative to the elements, uncorrected**: -0.25 eV/atom

***

Entry from the Alexandria database: GdErAlRh after structural relaxation (PBE-GGA).

a = 7.0596 Å, b = 7.0596 Å, c = 7.0596 Å
α = 90.00°, β = 90.00°, γ = 90.00°
Last column: nearest neighbours and their distance in Å.
Space group F-43m (No. 216)
Symmetry-distinct sites (fractional):
Gd  0.0000  0.0000  0.0000 x4  4 Al 3.06, 4 Rh 3.06
Er  0.0000  0.0000  0.5000 x4  4 Rh 3.06, 4 Al 3.06
Al  0.2500  0.2500  0.2500 x4  4 Gd 3.06, 4 Er 3.06
Rh  0.2500  0.2500  0.7500 x4  4 Gd 3.06, 4 Er 3.06

Computed properties:
**Energy of formation**: -0.55 eV per atom

***

Entry from the Alexandria database: Rb3NaMg2F9 after structural relaxation (PBE-GGA).

a = 5.9679 Å, b = 5.9679 Å, c = 7.4423 Å
α = 90.00°, β = 90.00°, γ = 120.00°
Last column: nearest neighbours and their distance in Å.
Space group P-3m1 (No. 164)
Symmetry-distinct sites (fractional):
Rb  0.0000  0.0000  0.0000 x1  12 F 2.97-2.98
Rb  0.3333  0.6667  0.6564 x2  12 F 2.99-3.08
Na  0.0000  0.0000  0.5000 x1  6 F 2.31
Mg  0.3333  0.6667  0.1506 x2  6 F 2.01-2.06
F  0.0000  0.5000  0.0000 x3  2 Mg 2.06
F  0.1782  0.3564  0.3132 x6  1 Mg 2.01

Computed properties:
**Energy relative to the elements, uncorrected**: -2.91 eV/atom

***

Entry from the Alexandria database: CsHfPb after structural relaxation (PBE-GGA).

a = 9.9785 Å, b = 3.4913 Å, c = 14.7634 Å
α = 90.00°, β = 102.95°, γ = 90.00°
Last column: nearest neighbours and their distance in Å.
Space group C2/m (No. 12)
Symmetry-distinct sites (fractional):
Cs  0.1959  0.0000  0.1727 x4  2 Cs 3.49, 3 Pb 3.88-3.90
Hf  0.1586  0.0000  0.5470 x4  5 Pb 3.01-3.26, 3 Hf 3.07-3.16
Pb  0.0402  0.5000  0.3598 x4  5 Hf 3.01-3.26

Computed properties:
**Energy of formation**: 0.15 eV per atom

***

Entry from the Alexandria database: NaLi3Tl after structural relaxation (PBE-GGA).

a = 6.4527 Å, b = 4.6960 Å, c = 7.1980 Å
α = 90.00°, β = 96.89°, γ = 90.00°
Last column: nearest neighbours and their distance in Å.
Space group P2_1/m (No. 11)
Symmetry-distinct sites (fractional):
Na  0.1612  0.2500  0.0647 x2  5 Li 2.97-3.21, 2 Na 3.20, 1 Tl 3.31
Li  0.0259  0.7500  0.3696 x2  3 Li 2.85-3.05, 3 Tl 2.90-3.07
Li  0.3606  0.2500  0.4751 x2  4 Li 2.83-2.95, 3 Tl 2.95-3.09, 1 Na 3.08
Li  0.4695  0.7500  0.1442 x2  1 Li 2.83, 3 Tl 2.95-3.07, 3 Na 2.97-3.09
Tl  0.2729  0.7500  0.7337 x2  9 Li 2.90-3.09

Computed properties:
**Polymorph energy (0 for the lowest one)**: 0 meV/atom
**Energy of formation**: -0.13 eV per atom

***

Entry from the Alexandria database: Mg3VBr after structural relaxation (PBE-GGA).

a = 5.1424 Å, b = 5.1424 Å, c = 5.1424 Å
α = 90.00°, β = 90.00°, γ = 90.00°
Last column: nearest neighbours and their distance in Å.
Space group Pm-3m (No. 221)
Symmetry-distinct sites (fractional):
Mg  0.0000  0.0000  0.5000 x3  2 Br 2.57
V  0.5000  0.5000  0.5000 x1  12 Mg 3.64
Br  0.0000  0.0000  0.0000 x1  6 Mg 2.57

Computed properties:
**Polymorph energy (0 for the lowest one)**: 72 meV/atom
**Energy relative to the elements, uncorrected**: 0.73 eV/atom

***

Please write out number 8 again, unchanged.
Entry from the Alexandria database: GdErAlRh after structural relaxation (PBE-GGA).

a = 7.0596 Å, b = 7.0596 Å, c = 7.0596 Å
α = 90.00°, β = 90.00°, γ = 90.00°
Last column: nearest neighbours and their distance in Å.
Space group F-43m (No. 216)
Symmetry-distinct sites (fractional):
Gd  0.0000  0.0000  0.0000 x4  4 Al 3.06, 4 Rh 3.06
Er  0.0000  0.0000  0.5000 x4  4 Rh 3.06, 4 Al 3.06
Al  0.2500  0.2500  0.2500 x4  4 Gd 3.06, 4 Er 3.06
Rh  0.2500  0.2500  0.7500 x4  4 Gd 3.06, 4 Er 3.06

Computed properties:
**Energy of formation**: -0.55 eV per atom